Material: NdGd2Cl
Method: DFT, PBE
State: relaxed

Output
M_tot   3.562 μB per atom
SG   R-3m, No. 166
Energy relative to the elements, uncorrected   -0.675 eV/atom

a b c (Å): 10.268 10.268 10.268
angles (deg): 20.58 20.58 20.58
Positions (direct):
Nd (0.000, 0.000, 0.000)
Gd (0.238, 0.238, 0.238)
Gd (0.762, 0.762, 0.762)
Cl (0.500, 0.500, 0.500)



Material: NdGd3Cl
Method: DFT, PBE
State: relaxed

Output
M_tot   4.292 μB per atom
SG   Pm-3m, No. 221
Energy relative to the elements, uncorrected   -0.465 eV/atom

a b c (Å): 5.380 5.380 5.380
angles (deg): 90.00 90.00 90.00
Positions (direct):
Nd (0.000, 0.000, 0.000)
Gd (0.000, 0.500, 0.500)
Gd (0.500, 0.000, 0.500)
Gd (0.500, 0.500, 0.000)
Cl (0.500, 0.500, 0.500)



Material: Gd2NiCl
Method: DFT, PBE
State: relaxed

Output
M_tot   3.632 μB per atom
SG   P4/mmm, No. 123
Energy relative to the elements, uncorrected   -0.774 eV/atom

a b c (Å): 3.354 3.354 7.909
angles (deg): 90.00 90.00 90.00
Positions (direct):
Gd (0.000, 0.000, 0.214)
Gd (0.000, 0.000, 0.786)
Ni (0.500, 0.500, 0.000)
Cl (0.500, 0.500, 0.500)



Material: Gd2NiCl
Method: DFT, PBE
State: relaxed

Output
M_tot   3.611 μB per atom
SG   R-3m, No. 166
Energy relative to the elements, uncorrected   -0.942 eV/atom

a b c (Å): 7.684 7.684 7.684
angles (deg): 29.64 29.64 29.64
Positions (direct):
Gd (0.234, 0.234, 0.234)
Gd (0.766, 0.766, 0.766)
Ni (0.500, 0.500, 0.500)
Cl (0.000, 0.000, 0.000)